1.
Below is LaSi2Tc2 after structural relaxation, with properties calculated at the GGA-PBE level.

E above lowest polymorph in meV/atom: 357
Magnetic moment in μB per formula unit: 0.000

abc: 7.506 7.506 3.013
angles: 90.00 90.00 90.00
Element x y z (fractional)
La (0.500, 0.500, 0.000)
La (0.000, 0.000, 0.000)
Tc (0.646, 0.854, 0.500)
Tc (0.854, 0.354, 0.500)
Tc (0.354, 0.146, 0.500)
Tc (0.146, 0.646, 0.500)
Si (0.627, 0.127, 0.000)
Si (0.873, 0.627, 0.000)
Si (0.373, 0.873, 0.000)
Si (0.127, 0.373, 0.000)

2.
Below is LaSiTc4 after structural relaxation, with properties calculated at the GGA-PBE level.

Magnetic moment in μB per formula unit: 0.001

abc: 5.324 5.324 5.324
angles: 60.00 60.00 60.00
Element x y z (fractional)
Tc (0.373, 0.373, 0.881)
Tc (0.373, 0.881, 0.373)
Tc (0.373, 0.373, 0.373)
Tc (0.881, 0.373, 0.373)
Si (0.000, 0.000, 0.000)
La (0.750, 0.750, 0.750)

3.
Below is LaSiTc3 after structural relaxation, with properties calculated at the GGA-PBE level.

E above lowest polymorph in meV/atom: 0
Magnetic moment in μB per formula unit: 2.430

abc: 4.592 4.592 4.592
angles: 90.00 90.00 90.00
Each line ends with the local moment (μB).
Element x y z (fractional)
La (0.500, 0.500, 0.500)  0.08
Tc (0.500, 0.000, 0.000)  0.51
Tc (0.000, 0.500, 0.000)  0.76
Tc (0.000, 0.000, 0.500)  0.78
Si (0.000, 0.000, 0.000)  -0.02

4.
Below is LaSiTc2 after structural relaxation, with properties calculated at the GGA-PBE level.

Magnetic moment in μB per formula unit: 0.000

abc: 3.189 5.250 5.450
angles: 49.85 90.00 90.00
Element x y z (fractional)
Si (0.000, 0.000, 0.500)
La (0.500, 0.500, 0.500)
Tc (0.000, 0.000, 0.000)
Tc (0.500, 0.500, 0.000)

5.
Below is LaSiTc2 after structural relaxation, with properties calculated at the GGA-PBE level.

Magnetic moment in μB per formula unit: 0.000

abc: 5.697 5.697 5.697
angles: 147.33 134.36 57.25
Element x y z (fractional)
Si (0.222, 0.722, 0.500)
La (0.494, 0.494, 0.000)
Tc (0.018, 0.018, 0.000)
Tc (0.766, 0.266, 0.500)

6.
Below is LaSi2Tc after structural relaxation, with properties calculated at the GGA-PBE level.

E above lowest polymorph in meV/atom: 384
Magnetic moment in μB per formula unit: 0.000

abc: 3.901 3.310 6.099
angles: 81.34 90.00 90.00
Element x y z (fractional)
La (0.500, 0.714, 0.801)
Si (0.000, 0.139, 0.052)
Si (0.500, 0.088, 0.294)
Tc (0.000, 0.559, 0.353)

7.
Below is LaSi2Tc after structural relaxation, with properties calculated at the GGA-PBE level.

E above lowest polymorph in meV/atom: 386
Magnetic moment in μB per formula unit: 0.000

abc: 3.264 3.264 6.905
angles: 90.00 90.00 90.00
Element x y z (fractional)
Tc (0.000, 0.000, 0.414)
Si (0.000, 0.000, 0.065)
Si (0.500, 0.500, 0.272)
La (0.500, 0.500, 0.748)

8.
Below is LaSiTc2 after structural relaxation, with properties calculated at the GGA-PBE level.

Magnetic moment in μB per formula unit: 0.000

abc: 3.035 3.035 8.245
angles: 90.00 90.00 113.21
Element x y z (fractional)
Tc (0.000, 0.000, 0.544)
Tc (0.000, 0.000, 0.956)
La (0.500, 0.500, 0.250)
Si (0.500, 0.500, 0.750)

Number 1: energy -7.543 eV/atom. Number 2: energy -8.319 eV/atom. Number 3: energy -7.932 eV/atom. Number 4: energy -7.544 eV/atom. Number 5: energy -7.611 eV/atom. Number 6: energy -6.811 eV/atom. Number 7: energy -6.809 eV/atom. Number 8: energy -7.613 eV/atom.